1.
BaInBiSe4 after structural relaxation. Source: Alexandria via LeMat-Bulk, functional PBE.

Symmetry   P2_1/m (11)
Formation energy without anion corrections   -0.841 eV per atom

Structure (POSCAR):
```
BaInBiSe4
1.0
7.274 0.000 0.000
0.000 7.496 0.000
-2.618 0.000 8.428
Ba In Bi Se
2 2 2 8
direct
0.235 0.250 0.051
0.765 0.750 0.949
0.237 0.750 0.324
0.763 0.250 0.676
0.222 0.250 0.543
0.778 0.750 0.457
0.008 0.514 0.730
0.008 0.986 0.730
0.464 0.750 0.148
0.483 0.750 0.601
0.517 0.250 0.399
0.536 0.250 0.852
0.992 0.014 0.270
0.992 0.486 0.270
```

---

2.
Tb3Pm3Ho2 after structural relaxation. Source: Alexandria via LeMat-Bulk, functional PBE.

Symmetry   C2/m (12)
ΔE to the lowest computed polymorph   6.0 kJ/mol of atoms

Structure (POSCAR):
```
Tb3Pm3Ho2
1.0
8.158 -2.872 0.000
8.158 2.872 0.000
-2.142 0.000 5.620
Tb Pm Ho
3 3 2
direct
0.000 0.000 0.000
0.133 0.133 0.579
0.867 0.867 0.421
0.366 0.366 0.805
0.500 0.500 0.500
0.634 0.634 0.195
0.250 0.250 0.182
0.750 0.750 0.818
```

---

3.
Tm3Ge4Os2 after structural relaxation. Source: Alexandria via LeMat-Bulk, functional PBE.

Symmetry   C2/m (12)
Total DFT energy (no corrections)   -6.65 eV per atom

Structure (POSCAR):
```
Tm3Ge4Os2
1.0
5.294 -2.177 0.000
5.294 2.177 0.000
-2.771 0.000 7.588
Tm Ge Os
3 4 2
direct
0.000 0.000 0.000
0.377 0.377 0.302
0.623 0.623 0.698
0.089 0.089 0.404
0.286 0.286 0.922
0.714 0.714 0.078
0.911 0.911 0.596
0.321 0.321 0.640
0.679 0.679 0.360
```

---

Number 2 is which compound? Tb3Pm3Ho2

---

Copy entry 3 word for word.
Tm3Ge4Os2 after structural relaxation. Source: Alexandria via LeMat-Bulk, functional PBE.

Symmetry   C2/m (12)
Total DFT energy (no corrections)   -6.65 eV per atom

Structure (POSCAR):
```
Tm3Ge4Os2
1.0
5.294 -2.177 0.000
5.294 2.177 0.000
-2.771 0.000 7.588
Tm Ge Os
3 4 2
direct
0.000 0.000 0.000
0.377 0.377 0.302
0.623 0.623 0.698
0.089 0.089 0.404
0.286 0.286 0.922
0.714 0.714 0.078
0.911 0.911 0.596
0.321 0.321 0.640
0.679 0.679 0.360
```